(1)
First-principles (PBE) data for crystalline SmNp2S5 at its relaxed geometry, as listed in Alexandria.

Lattice parameters (Å, degrees): 11.8030 7.9605 7.3829 90.00 90.00 90.00
Closest atoms and distances in Å follow each position.
Fractional positions:
Sm: 0.0077 0.2500 0.0812  7 S 2.70-2.87
Sm: 0.4923 0.7500 0.5812  7 S 2.70-2.87
Sm: 0.5077 0.2500 0.4188  7 S 2.70-2.87
Sm: 0.9923 0.7500 0.9188  7 S 2.70-2.87
Np: 0.1814 0.0002 0.5111  8 S 2.74-3.04
Np: 0.1814 0.4998 0.5111  8 S 2.74-3.04
Np: 0.3186 0.9998 0.0111  8 S 2.74-3.04
Np: 0.3186 0.5002 0.0111  8 S 2.74-3.04
Np: 0.6814 0.0002 0.9889  8 S 2.74-3.04
Np: 0.6814 0.4998 0.9889  8 S 2.74-3.04
Np: 0.8186 0.9998 0.4889  8 S 2.74-3.04
Np: 0.8186 0.5002 0.4889  8 S 2.74-3.04
S: 0.9999 0.2500 0.4697  1 Sm 2.87, 4 Np 2.93-2.94
S: 0.0001 0.7500 0.5303  1 Sm 2.87, 4 Np 2.93-2.94
S: 0.1078 0.5449 0.1624  2 Sm 2.70-2.79, 2 Np 2.74-2.75
S: 0.1078 0.9551 0.1624  2 Sm 2.70-2.79, 2 Np 2.74-2.75
S: 0.1885 0.2500 0.8224  1 Sm 2.86, 4 Np 2.87-3.04, 2 S 3.14
S: 0.2192 0.7500 0.7927  4 Np 2.82-2.91, 1 Sm 2.84
S: 0.2808 0.2500 0.2927  4 Np 2.82-2.91, 1 Sm 2.84
S: 0.3115 0.7500 0.3224  1 Sm 2.86, 4 Np 2.87-3.04, 2 S 3.14
S: 0.3922 0.0449 0.6624  2 Sm 2.70-2.79, 2 Np 2.74-2.75
S: 0.3922 0.4551 0.6624  2 Sm 2.70-2.79, 2 Np 2.74-2.75
S: 0.4999 0.2500 0.0303  1 Sm 2.87, 4 Np 2.93-2.94
S: 0.5001 0.7500 0.9697  1 Sm 2.87, 4 Np 2.93-2.94
S: 0.6078 0.5449 0.3376  2 Sm 2.70-2.79, 2 Np 2.74-2.75
S: 0.6078 0.9551 0.3376  2 Sm 2.70-2.79, 2 Np 2.74-2.75
S: 0.6885 0.2500 0.6776  1 Sm 2.86, 4 Np 2.87-3.04, 2 S 3.14
S: 0.7192 0.7500 0.7073  4 Np 2.82-2.91, 1 Sm 2.84
S: 0.7808 0.2500 0.2073  4 Np 2.82-2.91, 1 Sm 2.84
S: 0.8115 0.7500 0.1776  1 Sm 2.86, 4 Np 2.87-3.04, 2 S 3.14
S: 0.8922 0.0449 0.8376  2 Sm 2.70-2.79, 2 Np 2.74-2.75
S: 0.8922 0.4551 0.8376  2 Sm 2.70-2.79, 2 Np 2.74-2.75

For the formation energy without anion corrections, the calculation gives -1539 meV/atom.

---

(2)
First-principles (PBE) data for crystalline SmNpS2 at its relaxed geometry, as listed in Alexandria.

Lattice parameters (Å, degrees): 3.9376 3.9376 13.1147 90.00 90.00 120.00
Closest atoms and distances in Å follow each position.
Fractional positions:
Sm: 0.3333 0.6667 0.2500  6 S 2.85
Sm: 0.6667 0.3333 0.7500  6 S 2.85
Np: 0.0000 0.0000 0.0000  6 S 2.75
Np: 0.0000 0.0000 0.5000  6 S 2.75
S: 0.3333 0.6667 0.6183  3 Np 2.75, 3 Sm 2.85
S: 0.3333 0.6667 0.8817  3 Np 2.75, 3 Sm 2.85
S: 0.6667 0.3333 0.1183  3 Np 2.75, 3 Sm 2.85
S: 0.6667 0.3333 0.3817  3 Np 2.75, 3 Sm 2.85

For the formation energy without anion corrections, the calculation gives -1681 meV/atom. The value obtained for the energy above the lowest structure with this stoichiometry is 0.023 eV per atom.

---

(3)
First-principles (PBE) data for crystalline SmNpS2 at its relaxed geometry, as listed in Alexandria.

Lattice parameters (Å, degrees): 7.4002 7.4002 7.4002 29.98 29.98 29.98
Closest atoms and distances in Å follow each position.
Fractional positions:
Sm: 0.0000 0.0000 0.0000  6 S 2.78-2.88
Np: 0.1750 0.1750 0.1750  6 S 2.77-2.89
S: 0.4203 0.4203 0.4203  3 Sm 2.88, 3 Np 2.89
S: 0.5869 0.5869 0.5869  3 Np 2.77, 3 Sm 2.78

For the formation energy without anion corrections, the calculation gives -1582 meV/atom. The value obtained for the energy above the lowest structure with this stoichiometry is 0.123 eV per atom.

---

Number 1: magnetization 7.00 μB/f.u.. Number 2: magnetization 4.13 μB/f.u.. Number 3: magnetization 4.51 μB/f.u..